A relaxed Sc3Ru crystal. Source: the Alexandria database, functional PBE.

Calculated values
* mass density: 4.66 g cm⁻³
* formation energy: -0.32 eV per atom
* V: 21.0 Å³/atom
* total magnetic moment: 0.000 μB/f.u.

Structure (POSCAR):
```
Sc3Ru
1.0
10.821 0.000 0.000
0.000 10.821 0.000
0.000 0.000 5.749
Sc Ru
24 8
direct
0.033 0.913 0.211
0.087 0.533 0.711
0.116 0.302 0.024
0.123 0.836 0.700
0.164 0.623 0.200
0.198 0.116 0.476
0.302 0.384 0.476
0.336 0.877 0.200
0.377 0.664 0.700
0.384 0.198 0.024
0.413 0.967 0.711
0.467 0.587 0.211
0.533 0.413 0.789
0.587 0.033 0.289
0.616 0.802 0.976
0.623 0.336 0.300
0.664 0.123 0.800
0.698 0.616 0.524
0.802 0.884 0.524
0.836 0.377 0.800
0.877 0.164 0.300
0.884 0.698 0.976
0.913 0.467 0.289
0.967 0.087 0.789
0.045 0.308 0.524
0.192 0.045 0.976
0.308 0.455 0.976
0.455 0.192 0.524
0.545 0.808 0.476
0.692 0.545 0.024
0.808 0.955 0.024
0.955 0.692 0.476
```

=====

A relaxed ScRu crystal. Source: the Alexandria database, functional PBE.

Calculated values
* mass density: 7.09 g cm⁻³
* formation energy: -0.25 eV per atom
* V: 17.1 Å³/atom
* total magnetic moment: 0.000 μB/f.u.

Structure (POSCAR):
```
ScRu
1.0
-2.278 4.296 2.620
2.278 -4.296 2.620
2.278 4.296 -2.620
Sc Ru
3 3
direct
0.000 0.000 0.000
0.083 0.763 0.320
0.443 0.763 0.680
0.489 0.489 0.000
0.600 0.258 0.342
0.916 0.258 0.658
```

=====

A relaxed Sc4Ru crystal. Source: the Alexandria database, functional PBE.

Calculated values
* mass density: 3.73 g cm⁻³
* formation energy: -0.04 eV per atom
* V: 25.0 Å³/atom
* offset from the most stable computed form: 165 meV/atom
* total magnetic moment: 0.000 μB/f.u.

Structure (POSCAR):
```
Sc4Ru
1.0
5.001 0.000 0.000
0.000 5.001 0.000
0.000 0.000 5.001
Sc Ru
4 1
direct
0.000 0.000 0.000
0.000 0.500 0.500
0.500 0.000 0.500
0.500 0.500 0.000
0.500 0.500 0.500
```

=====

A relaxed ScRu5 crystal. Source: the Alexandria database, functional PBE.

Calculated values
* mass density: 9.29 g cm⁻³
* formation energy: 0.21 eV per atom
* V: 16.4 Å³/atom
* offset from the most stable computed form: 274 meV/atom
* total magnetic moment: 0.796 μB/f.u.

Structure (POSCAR):
```
ScRu5
1.0
5.084 0.000 0.000
-2.542 4.403 0.000
0.000 0.000 4.394
Sc Ru
1 5
direct
0.000 0.000 0.000
0.000 0.500 0.500
0.333 0.667 0.000
0.500 0.000 0.500
0.500 0.500 0.500
0.667 0.333 0.000
```

=====

A relaxed ScRu crystal. Source: the Alexandria database, functional PBE.

Calculated values
* mass density: 7.20 g cm⁻³
* formation energy: -0.30 eV per atom
* V: 16.8 Å³/atom
* total magnetic moment: 0.000 μB/f.u.

Structure (POSCAR):
```
ScRu
1.0
1.674 -2.482 0.000
1.674 2.482 0.000
0.000 0.000 4.055
Sc Ru
1 1
direct
0.000 0.000 0.000
0.500 0.500 0.500
```

=====

A relaxed Sc5Ru crystal. Source: the Alexandria database, functional PBE.

Calculated values
* mass density: 4.15 g cm⁻³
* formation energy: -0.14 eV per atom
* V: 21.7 Å³/atom
* offset from the most stable computed form: 86 meV/atom
* total magnetic moment: 0.000 μB/f.u.

Structure (POSCAR):
```
Sc5Ru
1.0
1.755 -7.459 0.000
1.755 7.459 0.000
0.000 0.000 4.977
Sc Ru
5 1
direct
0.000 0.000 0.000
0.136 0.864 0.500
0.332 0.668 0.000
0.668 0.332 0.000
0.864 0.136 0.500
0.500 0.500 0.500
```

=====

A relaxed Sc11Ru4 crystal. Source: the Alexandria database, functional PBE.

Calculated values
* mass density: 5.00 g cm⁻³
* formation energy: -0.40 eV per atom
* V: 19.9 Å³/atom
* total magnetic moment: 0.000 μB/f.u.

Structure (POSCAR):
```
Sc11Ru4
1.0
0.000 6.681 6.681
6.681 0.000 6.681
6.681 6.681 0.000
Sc Ru
22 8
direct
0.150 0.617 0.617
0.156 0.156 0.156
0.156 0.156 0.531
0.156 0.531 0.156
0.198 0.198 0.802
0.198 0.802 0.198
0.198 0.802 0.802
0.383 0.383 0.383
0.383 0.383 0.850
0.383 0.850 0.383
0.469 0.844 0.844
0.531 0.156 0.156
0.617 0.150 0.617
0.617 0.617 0.150
0.617 0.617 0.617
0.802 0.198 0.198
0.802 0.198 0.802
0.802 0.802 0.198
0.844 0.469 0.844
0.844 0.844 0.469
0.844 0.844 0.844
0.850 0.383 0.383
0.000 0.000 0.000
0.000 0.000 0.500
0.000 0.500 0.000
0.000 0.500 0.500
0.500 0.000 0.000
0.500 0.000 0.500
0.500 0.500 0.000
0.500 0.500 0.500
```

=====

A relaxed Sc4Ru crystal. Source: the Alexandria database, functional PBE.

Calculated values
* mass density: 3.83 g cm⁻³
* formation energy: 0.13 eV per atom
* V: 24.4 Å³/atom
* offset from the most stable computed form: 329 meV/atom
* total magnetic moment: 0.002 μB/f.u.

Structure (POSCAR):
```
Sc4Ru
1.0
-3.124 3.124 3.124
3.124 -3.124 3.124
3.124 3.124 -3.124
Sc Ru
4 1
direct
0.000 0.000 0.500
0.000 0.500 0.000
0.500 0.000 0.000
0.500 0.500 0.500
0.000 0.000 0.000
```

=====

What are the uncorrected energy values for these records? In order: -29.542, -16.109, -34.795, -51.457, -16.208, -41.776, -112.799, -33.977 eV/f.u..